Entry from the Alexandria database: a geometry-optimized AcAlAu3 structure (PBE).

Lattice parameters (Å, degrees): 5.8405 6.7282 6.7277 120.00 90.00 90.00
Positions (direct):
Ac  0.7499  0.6667  0.3334
Ac  0.2501  0.3333  0.6666
Al  0.0000  0.0000  0.0000
Al  0.5000  0.0000  0.0000
Au  0.7500  0.6206  0.8103
Au  0.2500  0.8103  0.6206
Au  0.2500  0.3794  0.1897
Au  0.7500  0.1897  0.3794
Au  0.2499  0.8102  0.1896
Au  0.7501  0.1898  0.8104

Summary:
Space-group type: P6_3/mmc, No. 194
DOS(E_F) in states/eV per atom: 0.555
Magnetization in μB per atom: 0.000
Energy of formation in meV/atom: -692